# 1
Here is ErAg2Sn2 after structural relaxation from the Alexandria database. Energies are from PBE.

Calculated values
The formation energy comes out at -0.328 eV per atom. For the total energy, the calculation gives -3.982 eV/atom.

The structure in extended XYZ format:
```
10
Lattice="2.1994 -11.6412 0.0000 2.1994 11.6412 0.0000 0.0000 0.0000 4.4015" Properties=species:S:1:pos:R:3 pbc="T T T"
Er 2.1994 8.2970 3.3012
Er 2.1994 -8.2970 1.1004
Ag 2.1994 10.6833 1.1004
Ag 2.1994 0.9630 1.1004
Ag 2.1994 -0.9630 3.3012
Ag 2.1994 -10.6833 3.3012
Sn 2.1994 5.8305 1.1004
Sn 2.1994 2.8712 3.3012
Sn 2.1994 -2.8712 1.1004
Sn 2.1994 -5.8305 3.3012
```

***

# 2
Here is GePdPt14 after structural relaxation from the Alexandria database. Energies are from PBE.

Calculated values
The formation energy comes out at -0.066 eV per atom. For the total energy, the calculation gives -5.965 eV/atom.

The structure in extended XYZ format:
```
16
Lattice="9.5800 0.0000 0.0000 0.0000 2.7530 4.7996 0.0000 -2.7530 4.7996" Properties=species:S:1:pos:R:3 pbc="T T T"
Ge 0.0000 0.0000 0.0000
Pd 0.0000 0.0000 4.7975
Pt 0.0000 1.3765 7.1974
Pt 0.0000 -1.3765 7.1974
Pt 2.3492 -1.3985 4.7955
Pt 2.3492 1.3985 4.7955
Pt 2.3942 0.0000 2.4217
Pt 2.3939 0.0000 7.1693
Pt 4.7900 0.0000 4.7921
Pt 4.7900 -1.3765 7.1918
Pt 4.7900 1.3765 7.1918
Pt 4.7900 0.0000 9.5916
Pt 7.1859 0.0000 2.4217
Pt 7.1861 0.0000 7.1693
Pt 7.2309 -1.3985 4.7955
Pt 7.2309 1.3985 4.7955
```

***

# 3
Here is LaNiTe after structural relaxation from the Alexandria database. Energies are from PBE.

Calculated values
For the total energy, the calculation gives -5.119 eV/atom. The value obtained for the formation energy from raw total energies is -502.0 meV/atom.

The structure in extended XYZ format:
```
6
Lattice="4.1750 0.0000 0.0000 0.0000 4.1750 0.0000 0.0000 0.0000 8.9508" Properties=species:S:1:pos:R:3 pbc="T T T"
La 0.0000 0.0000 0.0000
La 2.0875 2.0875 4.4754
Ni 0.0000 0.0000 5.6878
Ni 2.0875 2.0875 1.2124
Te 0.0000 0.0000 3.1429
Te 2.0875 2.0875 7.6183
```

***

# 4
Here is KZnPb2 after structural relaxation from the Alexandria database. Energies are from PBE.

Calculated values
The formation energy comes out at 0.129 eV per atom. For the total energy, the calculation gives -2.318 eV/atom.

The structure in extended XYZ format:
```
12
Lattice="3.9036 0.0000 0.0000 -1.9518 3.3806 0.0000 0.0000 0.0000 30.4418" Properties=species:S:1:pos:R:3 pbc="T T T"
K 0.0000 0.0000 0.0000
K 0.0000 2.2537 20.2946
K 1.9518 1.1269 10.1473
Zn 0.0000 0.0000 7.4888
Zn 0.0000 2.2537 27.7834
Zn 1.9518 1.1269 17.6361
Pb 0.0000 0.0000 15.5253
Pb 0.0000 0.0000 23.3429
Pb 0.0000 2.2537 5.3780
Pb 0.0000 2.2537 13.1957
Pb 1.9518 1.1269 3.0484
Pb 1.9518 1.1269 25.6725
```

***

# 5
Here is Na2US3 after structural relaxation from the Alexandria database. Energies are from PBE.

Calculated values
For the total energy, the calculation gives -5.739 eV/atom. The value obtained for the formation energy from raw total energies is -1354.2 meV/atom.

The structure in extended XYZ format:
```
12
Lattice="3.5606 -5.9838 0.0000 3.5606 5.9838 0.0000 -2.4842 0.0000 6.4588" Properties=species:S:1:pos:R:3 pbc="T T T"
Na 1.6974 4.9983 4.8441
Na 2.9396 3.0566 1.6147
Na 1.6974 -3.0566 4.8441
Na 2.9396 -4.9983 1.6147
U 1.6974 1.0636 4.8441
U 2.9396 -1.0636 1.6147
S 0.5382 2.9919 3.2294
S -0.4695 0.8768 6.4234
S 0.7727 -0.8768 3.1940
S 1.7803 -2.9919 0.0000
S 3.8643 0.8768 3.2648
S 5.1065 -0.8768 0.0354
```

***

# 6
Here is Re2As2Br after structural relaxation from the Alexandria database. Energies are from PBE.

Calculated values
For the total energy, the calculation gives -6.358 eV/atom. The value obtained for the formation energy from raw total energies is 815.2 meV/atom.

The structure in extended XYZ format:
```
10
Lattice="8.2017 0.0000 0.0000 0.0000 8.2017 0.0000 0.0000 0.0000 2.9130" Properties=species:S:1:pos:R:3 pbc="T T T"
Re 0.8829 3.2180 0.0000
Re 3.2180 7.3188 0.0000
Re 4.9837 0.8829 0.0000
Re 7.3188 4.9837 0.0000
As 1.2416 5.3425 1.4565
As 2.8592 1.2416 1.4565
As 5.3425 6.9601 1.4565
As 6.9601 2.8592 1.4565
Br 0.0000 0.0000 1.4565
Br 4.1009 4.1009 1.4565
```

***

# 7
Here is Nb2CuReH after structural relaxation from the Alexandria database. Energies are from PBE.

Calculated values
For the total energy, the calculation gives -7.972 eV/atom.

The structure in extended XYZ format:
```
5
Lattice="4.1161 0.0000 0.0000 0.0000 4.1161 0.0000 0.0000 0.0000 3.9043" Properties=species:S:1:pos:R:3 pbc="T T T"
Nb 0.0000 2.0581 0.0000
Nb 2.0581 0.0000 0.0000
Cu 0.0000 0.0000 1.9521
Re 2.0581 2.0581 1.9521
H 2.0581 2.0581 0.0000
```

***

# 8
Here is Li2FeOsC after structural relaxation from the Alexandria database. Energies are from PBE.

Calculated values
The formation energy comes out at 0.400 eV per atom. For the total energy, the calculation gives -6.149 eV/atom.

The structure in extended XYZ format:
```
5
Lattice="3.9046 0.0000 0.0000 0.0000 3.9046 0.0000 0.0000 0.0000 3.9463" Properties=species:S:1:pos:R:3 pbc="T T T"
Li 0.0000 1.9523 0.0000
Li 1.9523 0.0000 0.0000
Fe 0.0000 0.0000 1.9731
Os 1.9523 1.9523 1.9731
C 1.9523 1.9523 0.0000
```

***

# 9
Here is LiUNiRh after structural relaxation from the Alexandria database. Energies are from PBE.

Calculated values
The formation energy comes out at -0.131 eV per atom. For the total energy, the calculation gives -6.715 eV/atom.

The structure in extended XYZ format:
```
16
Lattice="6.3982 0.0000 0.0000 0.0000 6.3982 0.0000 0.0000 0.0000 6.3982" Properties=species:S:1:pos:R:3 pbc="T T T"
Li 0.0000 0.0000 0.0000
Li 0.0000 3.1991 3.1991
Li 3.1991 0.0000 3.1991
Li 3.1991 3.1991 0.0000
U 0.0000 0.0000 3.1991
U 0.0000 3.1991 0.0000
U 3.1991 0.0000 0.0000
U 3.1991 3.1991 3.1991
Ni 1.5996 1.5996 4.7987
Ni 1.5996 4.7987 1.5996
Ni 4.7987 1.5996 1.5996
Ni 4.7987 4.7987 4.7987
Rh 1.5996 1.5996 1.5996
Rh 1.5996 4.7987 4.7987
Rh 4.7987 1.5996 4.7987
Rh 4.7987 4.7987 1.5996
```

***

# 10
Here is V4Re2W after structural relaxation from the Alexandria database. Energies are from PBE.

Calculated values
The formation energy comes out at 0.138 eV per atom. For the total energy, the calculation gives -10.479 eV/atom.

The structure in extended XYZ format:
```
14
Lattice="6.0401 0.0000 0.0000 0.0000 6.0401 0.0000 0.0000 0.0000 5.9893" Properties=species:S:1:pos:R:3 pbc="T T T"
V 1.5100 1.5100 1.4973
V 1.5100 1.5100 4.4919
V 1.5100 4.5301 1.4973
V 1.5100 4.5301 4.4919
V 4.5301 1.5100 1.4973
V 4.5301 1.5100 4.4919
V 4.5301 4.5301 1.4973
V 4.5301 4.5301 4.4919
Re 0.0000 3.0200 0.0000
Re 0.0000 3.0200 2.9946
Re 3.0200 0.0000 0.0000
Re 3.0200 0.0000 2.9946
W 0.0000 0.0000 0.0000
W 3.0200 3.0200 2.9946
```

***

# 11
Here is ThSi2Ir after structural relaxation from the Alexandria database. Energies are from PBE.

Calculated values
For the total energy, the calculation gives -7.705 eV/atom. The value obtained for the formation energy from raw total energies is -923.1 meV/atom.

The structure in extended XYZ format:
```
12
Lattice="4.1197 0.0000 0.0000 -2.0598 3.5677 0.0000 0.0000 0.0000 15.3560" Properties=species:S:1:pos:R:3 pbc="T T T"
Th 0.0000 0.0000 0.0000
Th 0.0000 2.3785 10.2374
Th 2.0598 1.1892 5.1187
Si 0.0000 0.0000 3.2431
Si 0.0000 0.0000 12.1130
Si 0.0000 2.3785 6.9943
Si 0.0000 2.3785 13.4804
Si 2.0598 1.1892 1.8756
Si 2.0598 1.1892 8.3617
Ir 0.0000 0.0000 7.6780
Ir 0.0000 2.3785 2.5593
Ir 2.0598 1.1892 12.7967
```

***

# 12
Here is NbTe2AsI after structural relaxation from the Alexandria database. Energies are from PBE.

Calculated values
For the total energy, the calculation gives -4.020 eV/atom. The value obtained for the formation energy from raw total energies is 490.5 meV/atom.

The structure in extended XYZ format:
```
5
Lattice="5.4313 0.0000 0.0000 0.0000 5.4313 0.0000 0.0000 0.0000 5.6504" Properties=species:S:1:pos:R:3 pbc="T T T"
Nb 0.0000 0.0000 0.0000
Te 0.0000 2.7157 0.0000
Te 2.7157 0.0000 0.0000
As 2.7157 2.7157 2.8252
I 0.0000 0.0000 2.8252
```

***

# 13
Here is MnBeSe after structural relaxation from the Alexandria database. Energies are from PBE.

Calculated values
For the total energy, the calculation gives -5.223 eV/atom. The value obtained for the formation energy from raw total energies is 236.6 meV/atom.

The structure in extended XYZ format:
```
12
Lattice="5.5989 0.0000 0.0000 0.0000 5.5989 0.0000 0.0000 0.0000 5.5989" Properties=species:S:1:pos:R:3 pbc="T T T"
Mn 0.0000 0.0000 0.0000
Mn 0.0000 2.7995 2.7995
Mn 2.7995 0.0000 2.7995
Mn 2.7995 2.7995 0.0000
Be 1.3997 1.3997 1.3997
Be 1.3997 4.1992 4.1992
Be 4.1992 1.3997 4.1992
Be 4.1992 4.1992 1.3997
Se 1.3997 1.3997 4.1992
Se 1.3997 4.1992 1.3997
Se 4.1992 1.3997 1.3997
Se 4.1992 4.1992 4.1992
```

***

# 14
Here is Cu5Pt6 after structural relaxation from the Alexandria database. Energies are from PBE.

Calculated values
The formation energy comes out at -0.122 eV per atom. For the total energy, the calculation gives -5.279 eV/atom.

The structure in extended XYZ format:
```
11
Lattice="4.7358 0.0000 0.0000 -0.7822 6.0015 0.0000 -1.5604 -2.0218 5.4908" Properties=species:S:1:pos:R:3 pbc="T T T"
Cu 0.0000 0.0000 0.0000
Cu -0.7917 4.2369 1.9585
Cu -0.7930 2.4154 4.0001
Cu 1.6033 5.1310 0.9636
Cu 1.6010 1.5347 5.0014
Pt 0.7942 2.6908 0.4697
Pt 0.7918 0.7433 2.4582
Pt 0.7908 -1.1175 4.4992
Pt 1.5895 3.3100 3.0100
Pt 3.1724 1.7040 1.4746
Pt 3.1688 -0.1569 3.4879
```

***

# 15
Here is VSn3Pt12 after structural relaxation from the Alexandria database. Energies are from PBE.

Calculated values
The formation energy comes out at -0.406 eV per atom. For the total energy, the calculation gives -6.257 eV/atom.

The structure in extended XYZ format:
```
16
Lattice="4.0163 0.0000 0.0000 0.0000 4.0163 0.0000 0.0000 0.0000 16.1743" Properties=species:S:1:pos:R:3 pbc="T T T"
V 0.0000 0.0000 0.0000
Sn 0.0000 0.0000 3.9796
Sn 0.0000 0.0000 8.0871
Sn 0.0000 0.0000 12.1947
Pt 0.0000 2.0081 1.8822
Pt 0.0000 2.0081 6.0292
Pt 0.0000 2.0081 10.1451
Pt 0.0000 2.0081 14.2921
Pt 2.0081 0.0000 1.8822
Pt 2.0081 0.0000 6.0292
Pt 2.0081 0.0000 10.1451
Pt 2.0081 0.0000 14.2921
Pt 2.0081 2.0081 0.0000
Pt 2.0081 2.0081 3.9637
Pt 2.0081 2.0081 8.0871
Pt 2.0081 2.0081 12.2105
```

***

# 16
Here is Tb3YTl2O after structural relaxation from the Alexandria database. Energies are from PBE.

Calculated values
For the total energy, the calculation gives -5.352 eV/atom. The value obtained for the formation energy from raw total energies is -1060.1 meV/atom.

The structure in extended XYZ format:
```
14
Lattice="4.6558 0.0000 0.0000 0.0000 4.6637 0.0000 0.0000 0.0000 16.5058" Properties=species:S:1:pos:R:3 pbc="T T T"
Tb 0.0000 0.0000 0.0000
Tb 0.0000 2.3318 2.8252
Tb 0.0000 2.3318 13.6806
Tb 2.3279 0.0000 5.4277
Tb 2.3279 0.0000 11.0781
Tb 2.3279 2.3318 8.2529
Y 0.0000 0.0000 8.2529
Y 2.3279 2.3318 0.0000
Tl 0.0000 2.3318 5.9531
Tl 0.0000 2.3318 10.5527
Tl 2.3279 0.0000 2.2998
Tl 2.3279 0.0000 14.2060
O 0.0000 2.3318 0.0000
O 2.3279 0.0000 8.2529
```

***

# 17
Here is RbTiCu2I8 after structural relaxation from the Alexandria database. Energies are from PBE.

Calculated values
For the total energy, the calculation gives -3.006 eV/atom. The value obtained for the formation energy from raw total energies is -551.3 meV/atom.

The structure in extended XYZ format:
```
12
Lattice="5.8461 -3.9282 0.0000 5.8461 3.9282 0.0000 -1.4863 0.0000 10.4810" Properties=species:S:1:pos:R:3 pbc="T T T"
Rb 0.0000 0.0000 0.0000
Ti -0.7431 0.0000 5.2405
Cu 3.3451 0.0000 7.4288
Cu 6.8609 0.0000 3.0523
I 5.0943 1.9998 3.2492
I 2.0159 0.0000 5.2246
I 5.1117 1.9998 7.2318
I 2.3644 0.0000 9.7364
I 7.8417 0.0000 0.7447
I 5.0943 -1.9998 3.2492
I 8.1901 0.0000 5.2564
I 5.1117 -1.9998 7.2318
```

***

# 18
Here is NdGdAu2 after structural relaxation from the Alexandria database. Energies are from PBE.

Calculated values
The formation energy comes out at -0.792 eV per atom. For the total energy, the calculation gives -7.143 eV/atom.

The structure in extended XYZ format:
```
16
Lattice="7.3555 0.0000 0.0000 0.0000 7.3555 0.0000 0.0000 0.0000 7.3555" Properties=species:S:1:pos:R:3 pbc="T T T"
Nd 0.0000 0.0000 0.0000
Nd 0.0000 3.6778 3.6778
Nd 3.6778 0.0000 3.6778
Nd 3.6778 3.6778 0.0000
Gd 0.0000 0.0000 3.6778
Gd 0.0000 3.6778 0.0000
Gd 3.6778 0.0000 0.0000
Gd 3.6778 3.6778 3.6778
Au 1.8389 1.8389 1.8389
Au 1.8389 1.8389 5.5166
Au 1.8389 5.5166 1.8389
Au 1.8389 5.5166 5.5166
Au 5.5166 1.8389 1.8389
Au 5.5166 1.8389 5.5166
Au 5.5166 5.5166 1.8389
Au 5.5166 5.5166 5.5166
```

***

# 19
Here is LuHfCu after structural relaxation from the Alexandria database. Energies are from PBE.

Calculated values
The formation energy comes out at -0.084 eV per atom. For the total energy, the calculation gives -6.274 eV/atom.

The structure in extended XYZ format:
```
6
Lattice="3.2790 0.0000 0.0000 0.0000 3.2790 0.0000 0.0000 0.0000 11.4896" Properties=species:S:1:pos:R:3 pbc="T T T"
Lu 0.0000 0.0000 0.0000
Lu 1.6395 1.6395 5.7448
Hf 0.0000 0.0000 3.4741
Hf 1.6395 1.6395 9.2189
Cu 0.0000 0.0000 7.6926
Cu 1.6395 1.6395 1.9478
```

***

# 20
Here is Tm2ScSe4 after structural relaxation from the Alexandria database. Energies are from PBE.

Calculated values
For the total energy, the calculation gives -5.884 eV/atom. The value obtained for the formation energy from raw total energies is -1710.3 meV/atom.

The structure in extended XYZ format:
```
14
Lattice="1.9252 -6.5918 0.0000 1.9252 6.5918 0.0000 0.0000 0.0000 13.5557" Properties=species:S:1:pos:R:3 pbc="T T T"
Tm 1.9252 4.8660 7.7755
Tm 1.9252 4.8660 12.5580
Tm 1.9252 -4.8660 0.9977
Tm 1.9252 -4.8660 5.7802
Sc 1.9252 1.7286 10.1668
Sc 1.9252 -1.7286 3.3889
Se 1.9252 6.3190 10.1668
Se 1.9252 3.6832 1.6734
Se 1.9252 3.6832 5.1044
Se 1.9252 0.0000 0.0000
Se 1.9252 0.0000 6.7778
Se 1.9252 -3.6832 8.4513
Se 1.9252 -3.6832 11.8823
Se 1.9252 -6.3190 3.3889
```

***

Values of D(E_F), in order: 0.39; 1.23; 0.98; 0.30; 0.74; 0.80; 0.66; 0.47; 1.81; 0.97; 0.57; 0.69; 0.89; 0.86; 0.45; 0.32; 1.27; 1.14; 1.26; 0.41, all in states/eV/atom.